(1)
PBE AcGdCdCu, relaxed; crystal system = cubic
1.0
5.400 0.000 0.000
2.700 4.676 0.000
2.700 1.559 4.409
Ac Gd Cu Cd
1 1 1 1
direct
0.500 0.500 0.500
0.000 0.000 0.000
0.250 0.250 0.250
0.750 0.750 0.750

=====

(2)
PBE Ac2CdCu4Ge3, relaxed; crystal system = tetragonal
1.0
-2.963 -0.873 -3.111
3.164 -1.636 -2.555
-1.563 -9.513 4.158
Ac Cd Cu Ge
2 1 4 3
direct
0.500 0.000 0.235
0.000 0.500 0.765
0.500 0.500 0.500
0.500 0.500 0.000
0.000 0.000 0.000
0.500 0.000 0.641
0.000 0.500 0.359
0.000 0.000 0.500
0.500 0.000 0.876
0.000 0.500 0.124

=====

(3)
PBE Ac2CdCu3Ge4, relaxed; crystal system = tetragonal
1.0
-2.760 3.310 1.029
0.643 -0.804 4.310
8.088 6.727 0.049
Ac Cd Cu Ge
2 1 3 4
direct
0.500 0.000 0.240
0.000 0.500 0.760
0.500 0.500 0.500
0.000 0.000 0.500
0.500 0.000 0.882
0.000 0.500 0.118
0.500 0.500 0.000
0.000 0.000 0.000
0.500 0.000 0.646
0.000 0.500 0.354

=====

no.,formation enthalpy at 0 K (meV/atom)
1,-154.0
2,-416.1
3,-459.8